Record 1
CsTl3Cd2 after structural relaxation. Source: Alexandria via LeMat-Bulk, functional PBE.

Output
Energy of formation from the pure elements: -41 meV per atom

The structure in CIF format:
```
data_CsTl3Cd2
_symmetry_space_group_name_H-M 'C m c m'
_symmetry_Int_Tables_number 63
_symmetry_space_group_name_Hall '-C 2c 2'
_cell_length_a 13.305
_cell_length_b 10.003
_cell_length_c 6.285
_cell_angle_alpha 90.00
_cell_angle_beta 90.00
_cell_angle_gamma 90.00
loop_
_atom_site_label
_atom_site_fract_x
_atom_site_fract_y
_atom_site_fract_z
_atom_site_occupancy
Cs1 0.000 0.160 0.250 1
Tl1 0.000 0.441 0.750 1
Tl2 0.179 0.224 0.750 1
Cd1 0.212 0.500 0.000 1
```

Record 2
GdLu3S after structural relaxation. Source: Alexandria via LeMat-Bulk, functional PBE.

Output
Energy relative to the elements, uncorrected: -0.5950 eV/atom

The structure in CIF format:
```
data_GdLu3S
_symmetry_space_group_name_H-M 'P m -3 m'
_symmetry_Int_Tables_number 221
_symmetry_space_group_name_Hall '-P 4 2 3'
_cell_length_a 5.203
_cell_length_b 5.203
_cell_length_c 5.203
_cell_angle_alpha 90.00
_cell_angle_beta 90.00
_cell_angle_gamma 90.00
loop_
_atom_site_label
_atom_site_fract_x
_atom_site_fract_y
_atom_site_fract_z
_atom_site_occupancy
Gd1 0.000 0.000 0.000 1
Lu1 0.000 0.500 0.500 1
S1 0.500 0.500 0.500 1
```

Record 3
Pm2ErNpN4 after structural relaxation. Source: Alexandria via LeMat-Bulk, functional PBE.

Output
Energy relative to the elements, uncorrected: -1.4563 eV/atom

The structure in CIF format:
```
data_Pm2ErNpN4
_symmetry_space_group_name_H-M 'P 1 2/m 1'
_symmetry_Int_Tables_number 10
_cell_length_a 6.034
_cell_length_b 3.513
_cell_length_c 6.094
_cell_angle_alpha 90.00
_cell_angle_beta 108.84
_cell_angle_gamma 90.00
loop_
_symmetry_equiv_pos_as_xyz
'x,y,z'
'-x,-y,-z'
'-x,y,-z'
'x,-y,z'
loop_
_atom_site_label
_atom_site_fract_x
_atom_site_fract_y
_atom_site_fract_z
_atom_site_occupancy
Pm1 0.000 0.000 0.000 1
Pm2 0.500 0.500 0.000 1
Er1 0.000 0.500 0.500 1
Np1 0.500 0.000 0.500 1
N1 0.257 0.000 0.723 1
N2 0.263 0.500 0.275 1
```

Record 4
Ac4Pd2S after structural relaxation. Source: Alexandria via LeMat-Bulk, functional PBE.

Output
Energy relative to the elements, uncorrected: -0.7722 eV/atom

The structure in CIF format:
```
data_Ac4Pd2S
_symmetry_space_group_name_H-M 'I 4/m m m'
_symmetry_Int_Tables_number 139
_symmetry_space_group_name_Hall '-I 4 2'
_cell_length_a 5.791
_cell_length_b 5.791
_cell_length_c 14.718
_cell_angle_alpha 90.00
_cell_angle_beta 90.00
_cell_angle_gamma 90.00
loop_
_atom_site_label
_atom_site_fract_x
_atom_site_fract_y
_atom_site_fract_z
_atom_site_occupancy
Ac1 0.000 0.000 0.208 1
Ac2 0.000 0.500 0.000 1
Pd1 0.000 0.000 0.402 1
S1 0.000 0.000 0.000 1
```

Record 5
Ac7Pr2Nd2 after structural relaxation. Source: Alexandria via LeMat-Bulk, functional PBE.

Output
Energy of formation from the pure elements: 305 meV per atom

The structure in CIF format:
```
data_Ac7Pr2Nd2
_symmetry_space_group_name_H-M 'C 1 2/m 1'
_symmetry_Int_Tables_number 12
_cell_length_a 12.972
_cell_length_b 7.277
_cell_length_c 10.186
_cell_angle_alpha 90.00
_cell_angle_beta 90.04
_cell_angle_gamma 90.00
loop_
_symmetry_equiv_pos_as_xyz
'x,y,z'
'-x,-y,-z'
'-x,y,-z'
'x,-y,z'
'x+1/2,y+1/2,z'
'-x+1/2,-y+1/2,-z'
'-x+1/2,y+1/2,-z'
'x+1/2,-y+1/2,z'
loop_
_atom_site_label
_atom_site_fract_x
_atom_site_fract_y
_atom_site_fract_z
_atom_site_occupancy
Ac1 0.000 0.000 0.000 1
Ac2 0.000 0.500 0.182 1
Ac3 0.250 0.250 0.314 1
Pr1 0.000 0.250 0.500 1
Nd1 0.232 0.500 0.000 1
```

Record 6
Sr2HPd after structural relaxation. Source: Alexandria via LeMat-Bulk, functional PBE.

The structure in CIF format:
```
data_Sr2HPd
_symmetry_space_group_name_H-M 'R -3 m'
_symmetry_Int_Tables_number 166
_symmetry_space_group_name_Hall '-R 3 2"'
_cell_length_a 4.2200
_cell_length_b 4.2200
_cell_length_c 20.3973
_cell_angle_alpha 90.00
_cell_angle_beta 90.00
_cell_angle_gamma 120.00
loop_
_atom_site_label
_atom_site_fract_x
_atom_site_fract_y
_atom_site_fract_z
_atom_site_occupancy
Sr1 0.0000 0.0000 0.2460 1
H1 0.0000 0.0000 0.5000 1
Pd1 0.0000 0.0000 0.0000 1
```

Number 1: magnetic moment 0.00 μB/atom, E -10.0 eV/f.u.. Number 2: magnetic moment 1.76 μB/atom, E -34.7 eV/f.u.. Number 3: magnetic moment 0.35 μB/atom, E -72.0 eV/f.u.. Number 4: magnetic moment 0.00 μB/atom, E -36.4 eV/f.u.. Number 5: magnetic moment 0.00 μB/atom, E -44.5 eV/f.u.. Number 6: magnetic moment 0.00 μB/atom, E -13.4 eV/f.u..